Record 1
DFT (PBE) results for KIrPt3 after structural relaxation.

Calculated values
**ΔE to the lowest computed polymorph**: 0 meV/atom
**Symmetry**: Pm-3m
**Calculated formation energy**: 777 meV/atom

Cell: 4.946 4.946 4.946 Å, 90.00 90.00 90.00°
Fractional coordinates of all 5 atoms:
1 K 0.000 0.000 0.000
2 Ir 0.500 0.500 0.500
3 Pt 0.000 0.500 0.500
4 Pt 0.500 0.000 0.500
5 Pt 0.500 0.500 0.000



Record 2
DFT (PBE) results for LuScOsRh after structural relaxation.

Calculated values
**Symmetry**: F-43m
**Calculated formation energy**: -656 meV/atom

Cell: 6.565 6.565 6.565 Å, 90.00 90.00 90.00°
Fractional coordinates of all 16 atoms:
1 Lu 0.000 0.000 0.000
2 Lu 0.000 0.500 0.500
3 Lu 0.500 0.000 0.500
4 Lu 0.500 0.500 0.000
5 Sc 0.000 0.000 0.500
6 Sc 0.000 0.500 0.000
7 Sc 0.500 0.000 0.000
8 Sc 0.500 0.500 0.500
9 Os 0.250 0.250 0.750
10 Os 0.250 0.750 0.250
11 Os 0.750 0.250 0.250
12 Os 0.750 0.750 0.750
13 Rh 0.250 0.250 0.250
14 Rh 0.250 0.750 0.750
15 Rh 0.750 0.250 0.750
16 Rh 0.750 0.750 0.250



Record 3
DFT (PBE) results for CsVCl5 after structural relaxation.

Calculated values
**Formation energy without anion corrections**: -1.37 eV per atom
**Symmetry**: Imm2

Cell: 7.663 11.132 6.672 Å, 90.00 90.00 90.00°
Fractional coordinates of all 14 atoms:
1 Cs 0.000 0.000 0.000
2 Cs 0.500 0.500 0.500
3 V 0.000 0.500 0.838
4 V 0.500 0.000 0.338
5 Cl 0.000 0.294 0.840
6 Cl 0.000 0.500 0.507
7 Cl 0.000 0.706 0.840
8 Cl 0.241 0.000 0.486
9 Cl 0.259 0.500 0.986
10 Cl 0.500 0.000 0.007
11 Cl 0.500 0.206 0.340
12 Cl 0.500 0.794 0.340
13 Cl 0.741 0.500 0.986
14 Cl 0.759 0.000 0.486



Computed values of volume (unit: A^3/atom) for the preceding records, in sequence: 24.20; 17.68; 40.65.